First-principles (PBE-GGA) data for a relaxed structure of YSi2Tc, as listed in Alexandria via LeMat-Bulk.

Output
As for the energy above the lowest structure with this stoichiometry: 0.2247 eV per atom.

Cell: 7.954 3.381 6.353 Å, 90.00 119.66 90.00°
Space group Cm (No. 8)
Unique sites:
Y 0.000 0.000 0.000
Si 0.152 0.000 0.644
Si 0.431 0.000 0.318
Tc 0.285 0.500 0.458


First-principles (PBE-GGA) data for a relaxed structure of YSi4Tc4, as listed in Alexandria via LeMat-Bulk.

Output
As for the raw total energy: -8.228 eV per atom.

Cell: 8.056 8.056 4.703 Å, 90.00 90.00 90.00°
Space group P4_2/n (No. 86, origin choice 2)
Unique sites:
Y 0.250 0.250 0.250
Si 0.063 0.912 0.164
Tc 0.122 0.873 0.657


First-principles (PBE-GGA) data for a relaxed structure of YSi2Tc, as listed in Alexandria via LeMat-Bulk.

Output
As for the energy above the lowest structure with this stoichiometry: 0.3445 eV per atom.

Cell: 3.385 4.288 5.080 Å, 90.00 90.09 90.00°
Space group P2/m (No. 10)
Unique sites:
Y 0.000 0.000 0.000
Si 0.499 0.500 0.743
Tc 0.500 0.000 0.500


First-principles (PBE-GGA) data for a relaxed structure of YSi2Tc, as listed in Alexandria via LeMat-Bulk.

Output
As for the energy above the lowest structure with this stoichiometry: 0.8823 eV per atom.

Cell: 3.2058 3.2058 24.4754 Å, 90.00 90.00 120.00°
Space group R3m (No. 160, hexagonal axes)
Unique sites:
Y 0.0000 0.0000 0.0000
Si 0.0000 0.0000 0.2326
Si 0.0000 0.0000 0.4936
Tc 0.0000 0.0000 0.7590


First-principles (PBE-GGA) data for a relaxed structure of Y2SiTc, as listed in Alexandria via LeMat-Bulk.

Output
As for the raw total energy: -7.155 eV per atom.

Cell: 3.4711 3.4711 25.5842 Å, 90.00 90.00 120.00°
Space group R-3m (No. 166, hexagonal axes)
Unique sites:
Y 0.0000 0.0000 0.2473
Si 0.0000 0.0000 0.0000
Tc 0.0000 0.0000 0.5000


First-principles (PBE-GGA) data for a relaxed structure of YSi2Tc2, as listed in Alexandria via LeMat-Bulk.

Output
As for the energy above the lowest structure with this stoichiometry: 0.0635 eV per atom.

Cell: 4.574 3.513 10.497 Å, 90.00 95.22 90.00°
Space group P2_1/m (No. 11)
Unique sites:
Y 0.197 0.250 0.253
Si 0.168 0.750 0.029
Si 0.278 0.250 0.653
Tc 0.252 0.750 0.491
Tc 0.330 0.250 0.892


First-principles (PBE-GGA) data for a relaxed structure of Y2SiTc, as listed in Alexandria via LeMat-Bulk.

Output
As for the raw total energy: -7.229 eV per atom.

Cell: 4.524 4.524 7.711 Å, 90.00 90.00 90.00°
Space group I-4m2 (No. 119)
Unique sites:
Y 0.000 0.000 0.000
Y 0.000 0.500 0.250
Si 0.000 0.500 0.750
Tc 0.000 0.000 0.500


First-principles (PBE-GGA) data for a relaxed structure of Y2SiTc, as listed in Alexandria via LeMat-Bulk.

Output
As for the raw total energy: -7.521 eV per atom.

Cell: 4.2738 4.2738 18.4605 Å, 90.00 90.00 120.00°
Space group R3m (No. 160, hexagonal axes)
Unique sites:
Y 0.0000 0.0000 0.0000
Y 0.0000 0.0000 0.1831
Si 0.0000 0.0000 0.7593
Tc 0.0000 0.0000 0.4261


First-principles (PBE-GGA) data for a relaxed structure of Y2Si4Tc3, as listed in Alexandria via LeMat-Bulk.

Output
As for the energy above the lowest structure with this stoichiometry: 0.2961 eV per atom.

Cell: 5.451 9.429 12.329 Å, 90.00 90.00 90.00°
Space group Fmmm (No. 69)
Unique sites:
Y 0.000 0.000 0.139
Si 0.000 0.180 0.340
Tc 0.000 0.000 0.500
Tc 0.250 0.250 0.000


First-principles (PBE-GGA) data for a relaxed structure of Y3Si4Tc4, as listed in Alexandria via LeMat-Bulk.

Output
As for the raw total energy: -8.048 eV per atom.

Cell: 7.497 7.497 7.497 Å, 90.00 90.00 90.00°
Space group I-43m (No. 217)
Unique sites:
Y 0.000 0.000 0.500
Si 0.179 0.179 0.179
Tc 0.139 0.139 0.861


First-principles (PBE-GGA) data for a relaxed structure of Y2Si2Tc, as listed in Alexandria via LeMat-Bulk.

Output
As for the energy above the lowest structure with this stoichiometry: 0.0847 eV per atom.

Cell: 6.794 6.794 4.225 Å, 90.00 90.00 90.00°
Space group P4/mbm (No. 127)
Unique sites:
Y 0.178 0.322 0.000
Si 0.128 0.628 0.500
Tc 0.000 0.000 0.500


First-principles (PBE-GGA) data for a relaxed structure of YSi2Tc, as listed in Alexandria via LeMat-Bulk.

Output
As for the energy above the lowest structure with this stoichiometry: 0.0000 eV per atom.

Cell: 7.209 3.928 10.045 Å, 90.00 90.00 90.00°
Space group Pnma (No. 62)
Unique sites:
Y 0.144 0.250 0.127
Si 0.154 0.250 0.813
Si 0.210 0.250 0.429
Tc 0.014 0.750 0.393


First-principles (PBE-GGA) data for a relaxed structure of Zn2SiTc, as listed in Alexandria via LeMat-Bulk.

Output
As for the energy above the lowest structure with this stoichiometry: 0.5125 eV per atom.

Cell: 7.120 7.120 4.879 Å, 90.00 90.00 90.00°
Space group I-42d (No. 122)
Unique sites:
Zn 0.234 0.250 0.125
Si 0.000 0.000 0.000
Tc 0.000 0.000 0.500


First-principles (PBE-GGA) data for a relaxed structure of Zn2SiTc, as listed in Alexandria via LeMat-Bulk.

Output
As for the energy above the lowest structure with this stoichiometry: 0.1903 eV per atom.

Cell: 2.8703 2.8703 24.8198 Å, 90.00 90.00 120.00°
Space group R3m (No. 160, hexagonal axes)
Unique sites:
Zn 0.0000 0.0000 0.0000
Zn 0.0000 0.0000 0.2458
Si 0.0000 0.0000 0.4936
Tc 0.0000 0.0000 0.7533


First-principles (PBE-GGA) data for a relaxed structure of Zn2Si2Tc, as listed in Alexandria via LeMat-Bulk.

Output
As for the raw total energy: -4.686 eV per atom.

Cell: 6.366 6.366 3.629 Å, 90.00 90.00 90.00°
Space group P4/mbm (No. 127)
Unique sites:
Zn 0.170 0.330 0.000
Si 0.134 0.634 0.500
Tc 0.000 0.000 0.500


First-principles (PBE-GGA) data for a relaxed structure of ZnSiTc2, as listed in Alexandria via LeMat-Bulk.

Output
As for the energy above the lowest structure with this stoichiometry: 0.1340 eV per atom.

Cell: 3.057 4.502 8.284 Å, 90.00 90.00 90.00°
Space group Immm (No. 71)
Unique sites:
Zn 0.000 0.000 0.000
Si 0.000 0.000 0.500
Tc 0.000 0.500 0.224


First-principles (PBE-GGA) data for a relaxed structure of ZnSiTc2, as listed in Alexandria via LeMat-Bulk.

Output
As for the energy above the lowest structure with this stoichiometry: 0.1220 eV per atom.

Cell: 8.359 2.862 4.870 Å, 90.00 103.35 90.00°
Space group C2/m (No. 12)
Unique sites:
Zn 0.000 0.000 0.000
Si 0.000 0.500 0.500
Tc 0.238 0.000 0.738


First-principles (PBE-GGA) data for a relaxed structure of Zn2SiTc, as listed in Alexandria via LeMat-Bulk.

Output
As for the energy above the lowest structure with this stoichiometry: 0.2225 eV per atom.

Cell: 3.425 3.425 4.942 Å, 90.00 90.00 90.00°
Space group P4/mmm (No. 123)
Unique sites:
Zn 0.000 0.000 0.246
Si 0.500 0.500 0.500
Tc 0.500 0.500 0.000


First-principles (PBE-GGA) data for a relaxed structure of Zn3SiTc, as listed in Alexandria via LeMat-Bulk.

Output
As for the energy above the lowest structure with this stoichiometry: 0.0000 eV per atom.

Cell: 4.577 4.577 4.577 Å, 90.00 90.00 90.00°
Space group Pm-3m (No. 221)
Unique sites:
Zn 0.000 0.000 0.500
Si 0.000 0.000 0.000
Tc 0.500 0.500 0.500


First-principles (PBE-GGA) data for a relaxed structure of Zn2SiTc, as listed in Alexandria via LeMat-Bulk.

Output
As for the energy above the lowest structure with this stoichiometry: 0.0000 eV per atom.

Cell: 3.231 3.231 5.406 Å, 90.00 90.00 90.00°
Space group P4mm (No. 99)
Unique sites:
Zn 0.000 0.000 0.000
Zn 0.500 0.500 0.231
Si 0.000 0.000 0.522
Tc 0.500 0.500 0.717


First-principles (PBE-GGA) data for a relaxed structure of Zn2SiTc, as listed in Alexandria via LeMat-Bulk.

Output
As for the energy above the lowest structure with this stoichiometry: 0.4299 eV per atom.

Cell: 3.665 3.807 8.552 Å, 90.00 90.00 90.00°
Space group Cmmm (No. 65)
Unique sites:
Zn 0.000 0.000 0.238
Si 0.000 0.500 0.500
Tc 0.000 0.500 0.000


First-principles (PBE-GGA) data for a relaxed structure of ZnSiTc2, as listed in Alexandria via LeMat-Bulk.

Output
As for the energy above the lowest structure with this stoichiometry: 0.1488 eV per atom.

Cell: 3.902 3.902 7.282 Å, 90.00 90.00 90.00°
Space group I-4m2 (No. 119)
Unique sites:
Zn 0.000 0.000 0.000
Si 0.000 0.500 0.750
Tc 0.000 0.000 0.500
Tc 0.000 0.500 0.250


First-principles (PBE-GGA) data for a relaxed structure of Zn2SiTc, as listed in Alexandria via LeMat-Bulk.

Output
As for the energy above the lowest structure with this stoichiometry: 0.2667 eV per atom.

Cell: 5.041 8.064 2.823 Å, 90.00 90.00 90.00°
Space group Cmmm (No. 65)
Unique sites:
Zn 0.250 0.250 0.000
Si 0.000 0.000 0.500
Tc 0.000 0.500 0.500


First-principles (PBE-GGA) data for a relaxed structure of Zn2SiTc, as listed in Alexandria via LeMat-Bulk.

Output
As for the energy above the lowest structure with this stoichiometry: 0.3313 eV per atom.

Cell: 6.062 6.062 6.062 Å, 90.00 90.00 90.00°
Space group F-43m (No. 216)
Unique sites:
Zn 0.000 0.000 0.000
Zn 0.250 0.250 0.250
Si 0.250 0.250 0.750
Tc 0.000 0.000 0.500


First-principles (PBE-GGA) data for a relaxed structure of ZnSi4Tc, as listed in Alexandria via LeMat-Bulk.

Output
As for the raw total energy: -5.103 eV per atom.

Cell: 6.978 6.978 6.978 Å, 90.00 90.00 90.00°
Space group F-43m (No. 216)
Unique sites:
Zn 0.000 0.000 0.000
Si 0.125 0.125 0.625
Tc 0.250 0.250 0.250


First-principles (PBE-GGA) data for a relaxed structure of ZnSiTc2, as listed in Alexandria via LeMat-Bulk.

Output
As for the energy above the lowest structure with this stoichiometry: 0.0711 eV per atom.

Cell: 3.032 4.166 8.766 Å, 90.00 90.00 90.00°
Space group Imm2 (No. 44)
Unique sites:
Zn 0.000 0.000 0.000
Si 0.000 0.500 0.753
Tc 0.000 0.000 0.479
Tc 0.000 0.500 0.233


First-principles (PBE-GGA) data for a relaxed structure of ZnSiTc2, as listed in Alexandria via LeMat-Bulk.

Output
As for the energy above the lowest structure with this stoichiometry: 0.0621 eV per atom.

Cell: 9.108 2.940 4.326 Å, 90.00 107.53 90.00°
Space group Cm (No. 8)
Unique sites:
Zn 0.000 0.000 0.000
Si 0.254 0.500 0.321
Tc 0.246 0.000 0.820
Tc 0.494 0.000 0.492


no.,M_tot (μB per cell)
1,0.00
2,0.00
3,0.00
4,0.00
5,0.00
6,0.94
7,0.00
8,0.00
9,0.01
10,0.00
11,0.00
12,0.00
13,3.92
14,0.00
15,0.00
16,0.00
17,0.00
18,0.00
19,3.15
20,0.00
21,0.13
22,0.00
23,0.00
24,0.00
25,0.00
26,0.00
27,0.00